DFT (PBE-GGA) results for crystalline AcDyEr at its relaxed geometry.

- raw total energy (eV for the cell shown) = -12.83
- volume (A^3/atom) = 35.1
- theoretical density (g/cm3) = 8.8
- energy above the most stable polymorph in this dataset (kJ per mole of atoms) = 7.9
- M_tot (μB/cell) = 0.00
- formation energy from the elements (eV/f.u.) = 0.445

Structure (POSCAR):
```
AcDyEr
1.0
5.838 0.000 0.000
-2.919 5.056 0.000
0.000 0.000 3.570
Ac Dy Er
1 1 1
Cartesian
0.000 0.000 0.000
2.919 1.685 1.785
0.000 3.371 0.000
```